(1)
A plane-wave DFT calculation with PBE-GGA was carried out for a relaxed Er6TcO12 crystal.

a = 6.413 Å, b = 6.413 Å, c = 6.413 Å
α = 98.66°, β = 98.66°, γ = 98.66°
Sites, in units of the cell vectors:
Er: 0.111 0.816 0.644
Er: 0.184 0.356 0.889
Er: 0.356 0.889 0.184
Er: 0.644 0.111 0.816
Er: 0.816 0.644 0.111
Er: 0.889 0.184 0.356
Tc: 0.500 0.500 0.500
O: 0.068 0.910 0.323
O: 0.090 0.677 0.932
O: 0.202 0.423 0.536
O: 0.323 0.068 0.910
O: 0.423 0.536 0.202
O: 0.464 0.798 0.577
O: 0.536 0.202 0.423
O: 0.577 0.464 0.798
O: 0.677 0.932 0.090
O: 0.798 0.577 0.464
O: 0.910 0.323 0.068
O: 0.932 0.090 0.677

Computed properties:
* energy: -8.277 eV per atom
* N(E_F): 6.2 states/eV/f.u.
* formation energy (no corrections): -72.9 kcal/mol of atoms


(2)
A plane-wave DFT calculation with PBE-GGA was carried out for a relaxed Er5Tc2O12 crystal.

a = 6.774 Å, b = 6.774 Å, c = 7.467 Å
α = 106.24°, β = 106.24°, γ = 49.16°
Sites, in units of the cell vectors:
Er: 0.000 0.000 0.000
Er: 0.304 0.304 0.142
Er: 0.316 0.316 0.677
Er: 0.684 0.684 0.323
Er: 0.696 0.696 0.858
Tc: 0.214 0.786 0.500
Tc: 0.786 0.214 0.500
O: 0.002 0.002 0.294
O: 0.086 0.582 0.415
O: 0.098 0.594 0.927
O: 0.406 0.902 0.073
O: 0.418 0.914 0.585
O: 0.499 0.499 0.320
O: 0.501 0.501 0.680
O: 0.582 0.086 0.415
O: 0.594 0.098 0.927
O: 0.902 0.406 0.073
O: 0.914 0.418 0.585
O: 0.998 0.998 0.706

Computed properties:
* energy: -8.341 eV per atom
* N(E_F): 4.2 states/eV/f.u.
* formation energy (no corrections): -67.3 kcal/mol of atoms


(3)
A plane-wave DFT calculation with PBE-GGA was carried out for a relaxed Er4Tc6O19 crystal.

a = 7.735 Å, b = 7.735 Å, c = 7.735 Å
α = 109.47°, β = 109.47°, γ = 109.47°
Sites, in units of the cell vectors:
Er: 0.000 0.000 0.708
Er: 0.000 0.708 0.000
Er: 0.292 0.292 0.292
Er: 0.708 0.000 0.000
Tc: 0.135 0.635 0.500
Tc: 0.365 0.500 0.865
Tc: 0.500 0.135 0.635
Tc: 0.500 0.865 0.365
Tc: 0.635 0.500 0.135
Tc: 0.865 0.365 0.500
O: 0.000 0.000 0.000
O: 0.000 0.315 0.315
O: 0.000 0.685 0.685
O: 0.055 0.307 0.688
O: 0.252 0.945 0.632
O: 0.307 0.688 0.055
O: 0.312 0.619 0.368
O: 0.315 0.000 0.315
O: 0.315 0.315 0.000
O: 0.368 0.312 0.619
O: 0.381 0.693 0.748
O: 0.619 0.368 0.312
O: 0.632 0.252 0.945
O: 0.685 0.000 0.685
O: 0.685 0.685 0.000
O: 0.688 0.055 0.307
O: 0.693 0.748 0.381
O: 0.748 0.381 0.693
O: 0.945 0.632 0.252

Computed properties:
* energy: -8.138 eV per atom
* N(E_F): 7.3 states/eV/f.u.
* formation energy (no corrections): -48.8 kcal/mol of atoms


(4)
A plane-wave DFT calculation with PBE-GGA was carried out for a relaxed Er2Tc2O7 crystal.

a = 7.256 Å, b = 7.256 Å, c = 7.256 Å
α = 60.00°, β = 60.00°, γ = 60.00°
Sites, in units of the cell vectors:
Er: 0.000 0.000 0.000
Er: 0.000 0.000 0.500
Er: 0.000 0.500 0.000
Er: 0.500 0.000 0.000
Tc: 0.000 0.500 0.500
Tc: 0.500 0.000 0.500
Tc: 0.500 0.500 0.000
Tc: 0.500 0.500 0.500
O: 0.125 0.125 0.125
O: 0.160 0.160 0.590
O: 0.160 0.590 0.160
O: 0.160 0.590 0.590
O: 0.410 0.410 0.840
O: 0.410 0.840 0.410
O: 0.410 0.840 0.840
O: 0.590 0.160 0.160
O: 0.590 0.160 0.590
O: 0.590 0.590 0.160
O: 0.840 0.410 0.410
O: 0.840 0.410 0.840
O: 0.840 0.840 0.410
O: 0.875 0.875 0.875

Computed properties:
* energy: -8.257 eV per atom
* N(E_F): 1.9 states/eV/f.u.
* formation energy (no corrections): -55.1 kcal/mol of atoms
* relative energy among the computed polymorphs: 0.0 meV/atom


(5)
A plane-wave DFT calculation with PBE-GGA was carried out for a relaxed ErTcO5 crystal.

a = 5.467 Å, b = 5.467 Å, c = 7.536 Å
α = 110.31°, β = 110.31°, γ = 70.39°
Sites, in units of the cell vectors:
Er: 0.053 0.947 0.750
Er: 0.947 0.053 0.250
Tc: 0.500 0.500 0.000
Tc: 0.500 0.500 0.500
O: 0.192 0.778 0.040
O: 0.222 0.808 0.460
O: 0.253 0.296 0.382
O: 0.296 0.253 0.882
O: 0.420 0.580 0.750
O: 0.580 0.420 0.250
O: 0.704 0.747 0.118
O: 0.747 0.704 0.618
O: 0.778 0.192 0.540
O: 0.808 0.222 0.960

Computed properties:
* energy: -7.686 eV per atom
* N(E_F): 0.1 states/eV/f.u.
* formation energy (no corrections): -46.4 kcal/mol of atoms
* relative energy among the computed polymorphs: 59.2 meV/atom


(6)
A plane-wave DFT calculation with PBE-GGA was carried out for a relaxed ErTcO5 crystal.

a = 5.673 Å, b = 5.673 Å, c = 8.653 Å
α = 108.80°, β = 108.80°, γ = 87.42°
Sites, in units of the cell vectors:
Er: 0.000 0.000 0.000
Er: 0.000 0.000 0.500
Tc: 0.323 0.677 0.750
Tc: 0.677 0.323 0.250
O: 0.067 0.933 0.750
O: 0.247 0.692 0.943
O: 0.254 0.353 0.647
O: 0.308 0.753 0.557
O: 0.353 0.254 0.147
O: 0.647 0.746 0.853
O: 0.692 0.247 0.443
O: 0.746 0.647 0.353
O: 0.753 0.308 0.057
O: 0.933 0.067 0.250

Computed properties:
* energy: -7.745 eV per atom
* N(E_F): 0.0 states/eV/f.u.
* formation energy (no corrections): -47.7 kcal/mol of atoms
* relative energy among the computed polymorphs: 0.0 meV/atom